(1)
First-principles (GGA-PBE) data for an optimized crystal structure of Pr3Ho4Th, as listed in Alexandria.

Unit cell a=11.6581 b=7.2630 c=6.3051 alpha=90.00 beta=90.00 gamma=90.00
Space group Pmn2_1 (No. 31)
Asymmetric unit:
Pr1 0.0000 0.1208 0.0000
Pr2 0.2465 0.1245 0.3366
Ho1 0.0000 0.3803 0.5064
Ho2 0.0000 0.6269 0.0110
Ho3 0.2482 0.6236 0.3452
Th1 0.0000 0.8680 0.5128

E above lowest polymorph ... 0 meV/atom
Total energy ... -4.9557 eV per atom

***

(2)
First-principles (GGA-PBE) data for an optimized crystal structure of Pr7Ho2Th2, as listed in Alexandria.

Unit cell a=11.7197 b=11.5841 c=6.1259 alpha=90.00 beta=112.29 gamma=90.00
Space group C2/m (No. 12)
Asymmetric unit:
Pr1 0.0000 0.0000 0.0000
Pr2 0.0648 0.5000 0.7954
Pr3 0.1862 0.2234 0.1804
Ho1 0.2222 0.0000 0.6041
Th1 0.0000 0.2135 0.5000

E above lowest polymorph ... 7 meV/atom
Total energy ... -5.0424 eV per atom

***

(3)
First-principles (GGA-PBE) data for an optimized crystal structure of PrHoTh4, as listed in Alexandria.

Unit cell a=3.5970 b=3.5970 c=15.1586 alpha=90.00 beta=90.00 gamma=90.00
Space group P4/mmm (No. 123)
Asymmetric unit:
Pr1 0.0000 0.0000 0.0000
Ho1 0.5000 0.5000 0.5000
Th1 0.0000 0.0000 0.3349
Th2 0.5000 0.5000 0.1745

E above lowest polymorph ... 0 meV/atom
Total energy ... -6.4609 eV per atom

***

(4)
First-principles (GGA-PBE) data for an optimized crystal structure of Pr4Ho15Th, as listed in Alexandria.

Unit cell a=5.0539 b=5.0539 c=25.1063 alpha=90.00 beta=90.00 gamma=90.00
Space group P4/mmm (No. 123)
Asymmetric unit:
Pr1 0.0000 0.0000 0.1005
Pr2 0.0000 0.0000 0.3016
Ho1 0.0000 0.5000 0.0000
Ho2 0.0000 0.5000 0.2012
Ho3 0.0000 0.5000 0.4028
Ho4 0.5000 0.5000 0.1007
Ho5 0.5000 0.5000 0.3012
Ho6 0.5000 0.5000 0.5000
Th1 0.0000 0.0000 0.5000

Total energy ... -4.7357 eV per atom

***

(5)
First-principles (GGA-PBE) data for an optimized crystal structure of Pr3Ho3Th2, as listed in Alexandria.

Unit cell a=5.0702 b=5.1013 c=20.6119 alpha=90.00 beta=90.00 gamma=90.00
Space group Immm (No. 71)
Asymmetric unit:
Pr1 0.0000 0.0000 0.0000
Pr2 0.0000 0.5000 0.1284
Ho1 0.0000 0.0000 0.5000
Ho2 0.0000 0.5000 0.3717
Th1 0.0000 0.0000 0.2495

Total energy ... -5.3279 eV per atom

***

(6)
First-principles (GGA-PBE) data for an optimized crystal structure of Pr4Ho2Th, as listed in Alexandria.

Unit cell a=6.4626 b=24.4621 c=6.8933 alpha=90.00 beta=117.95 gamma=90.00
Space group Cc (No. 9)
Asymmetric unit:
Pr1 0.0000 0.0182 0.0000
Pr2 0.0101 0.4447 0.9550
Pr3 0.3698 0.2317 0.7396
Pr4 0.4258 0.1948 0.2853
Ho1 0.4035 0.3427 0.3273
Ho2 0.4466 0.0927 0.9134
Th1 0.4687 0.3751 0.8703

E above lowest polymorph ... 0 meV/atom
Total energy ... -5.0047 eV per atom

***

(7)
First-principles (GGA-PBE) data for an optimized crystal structure of Pr2Ho4Th5, as listed in Alexandria.

Unit cell a=8.8332 b=3.4788 c=11.7486 alpha=90.00 beta=94.32 gamma=90.00
Space group P2/m (No. 10)
Asymmetric unit:
Pr1 0.0540 0.0000 0.1359
Ho1 0.1602 0.5000 0.4061
Ho2 0.3079 0.5000 0.9444
Th1 0.2048 0.0000 0.6741
Th2 0.4222 0.0000 0.2135
Th3 0.5000 0.0000 0.5000

Total energy ... -5.7696 eV per atom

***

(8)
First-principles (GGA-PBE) data for an optimized crystal structure of Pr8Ho6Th, as listed in Alexandria.

Unit cell a=9.1675 b=9.1675 c=21.1214 alpha=90.00 beta=90.00 gamma=120.00
Space group R-3 (No. 148, hexagonal axes)
Asymmetric unit:
Pr1 0.0000 0.0000 0.0785
Pr2 0.0807 0.5189 0.3039
Ho1 0.0438 0.8003 0.2062
Th1 0.0000 0.0000 0.5000

Total energy ... -4.7504 eV per atom

***

(9)
First-principles (GGA-PBE) data for an optimized crystal structure of PrHo3Th3, as listed in Alexandria.

Unit cell a=8.8618 b=8.8618 c=21.2820 alpha=90.00 beta=90.00 gamma=120.00
Space group R-3 (No. 148, hexagonal axes)
Asymmetric unit:
Pr1 0.0000 0.0000 0.1378
Ho1 0.0478 0.2663 0.7141
Th1 0.0128 0.2468 0.5550

Total energy ... -5.5238 eV per atom

***

(10)
First-principles (GGA-PBE) data for an optimized crystal structure of Pr8Ho3Th, as listed in Alexandria.

Unit cell a=11.0794 b=11.8537 c=6.3733 alpha=90.00 beta=90.00 gamma=90.00
Space group Imm2 (No. 44)
Asymmetric unit:
Pr1 0.1604 0.0000 0.0000
Pr2 0.1621 0.2496 0.3391
Pr3 0.1662 0.5000 0.9946
Ho1 0.0000 0.2498 0.8260
Ho2 0.0000 0.5000 0.5021
Th1 0.0000 0.0000 0.5106

Total energy ... -4.9032 eV per atom

***

(11)
First-principles (GGA-PBE) data for an optimized crystal structure of Pr2HoTh, as listed in Alexandria.

Unit cell a=12.5667 b=7.2359 c=6.3034 alpha=90.00 beta=109.10 gamma=90.00
Space group C2/c (No. 15)
Asymmetric unit:
Pr1 0.2483 0.1278 0.2489
Ho1 0.0000 0.3720 0.2500
Th1 0.0000 0.1152 0.7500

E above lowest polymorph ... 17 meV/atom
Total energy ... -5.3335 eV per atom

***

(12)
First-principles (GGA-PBE) data for an optimized crystal structure of PrHo2Th, as listed in Alexandria.

Unit cell a=7.2211 b=10.0036 c=3.5919 alpha=90.00 beta=90.00 gamma=90.00
Space group Cmmm (No. 65)
Asymmetric unit:
Pr1 0.0000 0.0000 0.0000
Ho1 0.2500 0.2500 0.5000
Th1 0.0000 0.5000 0.0000

E above lowest polymorph ... 18 meV/atom
Total energy ... -5.3065 eV per atom

***

(13)
First-principles (GGA-PBE) data for an optimized crystal structure of Pr5Ho12Th2, as listed in Alexandria.

Unit cell a=6.1744 b=8.0280 c=12.9408 alpha=90.24 beta=103.75 gamma=97.23
Space group P-1 (No. 2)
Asymmetric unit:
Pr1 0.0000 0.0000 0.0000
Pr2 0.2101 0.4215 0.9440
Pr3 0.4675 0.9424 0.6315
Ho1 0.0499 0.1074 0.7345
Ho2 0.1025 0.2173 0.4747
Ho3 0.1615 0.3177 0.2141
Ho4 0.3144 0.6260 0.4213
Ho5 0.3761 0.7365 0.1615
Ho6 0.4166 0.8411 0.8912
Th1 0.2615 0.5250 0.6833

E above lowest polymorph ... 0 meV/atom
Total energy ... -4.8996 eV per atom

***

(14)
First-principles (GGA-PBE) data for an optimized crystal structure of Pr2Ho3Th4, as listed in Alexandria.

Unit cell a=18.6925 b=3.6044 c=9.7507 alpha=90.00 beta=115.45 gamma=90.00
Space group C2/m (No. 12)
Asymmetric unit:
Pr1 0.1633 0.0000 0.4987
Ho1 0.0000 0.5000 0.5000
Ho2 0.1467 0.5000 0.1651
Th1 0.0251 0.0000 0.8367
Th2 0.1842 0.5000 0.8408

Total energy ... -5.8279 eV per atom

***

(15)
First-principles (GGA-PBE) data for an optimized crystal structure of Pr14HoTh, as listed in Alexandria.

Unit cell a=7.3712 b=7.3712 c=10.5057 alpha=90.00 beta=90.00 gamma=90.00
Space group P4/mmm (No. 123)
Asymmetric unit:
Pr1 0.0000 0.0000 0.0000
Pr2 0.0000 0.5000 0.0000
Pr3 0.0000 0.5000 0.5000
Pr4 0.2481 0.2481 0.2543
Pr5 0.5000 0.5000 0.0000
Ho1 0.5000 0.5000 0.5000
Th1 0.0000 0.0000 0.5000

Total energy ... -4.9080 eV per atom

***

(16)
First-principles (GGA-PBE) data for an optimized crystal structure of PrHo6Th, as listed in Alexandria.

Unit cell a=6.5343 b=6.5843 c=7.5049 alpha=64.35 beta=64.85 gamma=89.84
Space group P-1 (No. 2)
Asymmetric unit:
Pr1 0.0000 0.0000 0.0000
Ho1 0.0813 0.2684 0.4631
Ho2 0.4478 0.7637 0.4732
Ho3 0.4982 0.7472 0.0005
Th1 0.0000 0.5000 0.0000

E above lowest polymorph ... 193 meV/atom
Total energy ... -4.7377 eV per atom

***

(17)
First-principles (GGA-PBE) data for an optimized crystal structure of Pr4Ho7Th, as listed in Alexandria.

Unit cell a=7.1598 b=8.0218 c=8.0226 alpha=95.91 beta=116.38 gamma=102.33
Space group P-1 (No. 2)
Asymmetric unit:
Pr1 0.0056 0.1702 0.1689
Pr2 0.2554 0.1710 0.6675
Ho1 0.0000 0.5000 0.5000
Ho2 0.2519 0.4995 0.0043
Ho3 0.2544 0.8282 0.3365
Ho4 0.4982 0.8283 0.8279
Th1 0.5000 0.5000 0.5000

E above lowest polymorph ... 0 meV/atom
Total energy ... -4.8587 eV per atom

***

(18)
First-principles (GGA-PBE) data for an optimized crystal structure of Pr2Ho2Th, as listed in Alexandria.

Unit cell a=3.6172 b=3.6172 c=43.9424 alpha=90.00 beta=90.00 gamma=120.00
Space group R-3m (No. 166, hexagonal axes)
Asymmetric unit:
Pr1 0.0000 0.0000 0.2012
Ho1 0.0000 0.0000 0.3970
Th1 0.0000 0.0000 0.0000

E above lowest polymorph ... 0 meV/atom
Total energy ... -5.2108 eV per atom

***

(19)
First-principles (GGA-PBE) data for an optimized crystal structure of Pr5Ho6Th, as listed in Alexandria.

Unit cell a=6.2799 b=10.8675 c=11.8172 alpha=90.00 beta=100.20 gamma=90.00
Space group C2/m (No. 12)
Asymmetric unit:
Pr1 0.0000 0.0000 0.0000
Pr2 0.0000 0.1668 0.5000
Pr3 0.0000 0.3330 0.0000
Ho1 0.2468 0.3354 0.7477
Ho2 0.2468 0.5000 0.2524
Th1 0.0000 0.5000 0.5000

Total energy ... -4.8738 eV per atom

***

(20)
First-principles (GGA-PBE) data for an optimized crystal structure of Pr2Ho3Th, as listed in Alexandria.

Unit cell a=11.3949 b=5.0854 c=14.4048 alpha=90.00 beta=108.53 gamma=90.00
Space group C2/m (No. 12)
Asymmetric unit:
Pr1 0.0018 0.0000 0.3735
Pr2 0.0032 0.0000 0.1284
Ho1 0.1672 0.5000 0.0435
Ho2 0.1682 0.5000 0.7905
Ho3 0.1709 0.5000 0.5435
Th1 0.1691 0.5000 0.2913

Total energy ... -5.0749 eV per atom